<w>
This record from Alexandria via LeMat-Bulk describes an optimized crystal structure of SrCaAcMg. The functional is PBE.

Structure (extended XYZ):
```
4
Lattice="-2.7440 -0.9242 -2.8618 2.9950 -0.4907 -2.7133 0.6554 -9.5135 2.4439" Properties=species:S:1:pos:R:3 pbc="T T T"
Sr 0.6394 -8.1668 -0.8713
Ca 0.0514 -0.7467 0.1918
Ac 0.3584 -4.0882 -1.9191
Mg 0.3715 -5.3919 1.3851
```



<x>
This record from Alexandria via LeMat-Bulk describes an optimized crystal structure of SrCaAcMg. The functional is PBE.

Structure (extended XYZ):
```
4
Lattice="6.0955 0.0000 0.0000 3.0477 5.2788 0.0000 3.0477 1.7596 4.9769" Properties=species:S:1:pos:R:3 pbc="T T T"
Mg 0.0000 0.0000 0.0000
Sr 3.0477 1.7596 1.2442
Ac 9.1432 5.2788 3.7327
Ca 6.0955 3.5192 2.4885
```



Most stable: <w>



<w>
This record from Alexandria via LeMat-Bulk describes an optimized crystal structure of CaAcN2. The functional is PBE.

Structure (extended XYZ):
```
4
Lattice="3.7817 0.0000 0.0000 1.8908 3.2750 0.0000 1.8908 1.0917 5.9654" Properties=species:S:1:pos:R:3 pbc="T T T"
Ac 0.0000 0.0000 0.0000
Ca 3.7817 2.1834 2.9827
N 1.8909 1.0917 1.4821
N 5.6725 3.2750 4.4833
```



<x>
This record from Alexandria via LeMat-Bulk describes an optimized crystal structure of CaAcN2. The functional is PBE.

Structure (extended XYZ):
```
4
Lattice="3.7219 0.0000 0.0000 1.8610 3.2233 0.0000 1.8610 1.0744 6.2229" Properties=species:S:1:pos:R:3 pbc="T T T"
Ca 3.7219 2.1489 3.2108
Ac 5.5829 3.2233 6.2167
N 1.8610 1.0744 4.6475
N 1.8610 1.0744 1.4822
```



Most stable: <w>



<w>
This record from Alexandria via LeMat-Bulk describes an optimized crystal structure of CaAcN. The functional is PBE.

Structure (extended XYZ):
```
3
Lattice="-0.6550 -0.3323 4.4989 -0.7486 -4.0757 1.8994 3.1940 -1.9087 2.6334" Properties=species:S:1:pos:R:3 pbc="T T T"
Ac 0.8952 -3.1583 4.5159
Ca 0.0000 0.0000 0.0000
N 0.4476 -1.5792 2.2579
```



<x>
This record from Alexandria via LeMat-Bulk describes an optimized crystal structure of CaAcN. The functional is PBE.

Structure (extended XYZ):
```
3
Lattice="-2.5072 3.1059 -3.5548 -3.5673 1.3895 3.7300 5.3413 0.8243 0.9715" Properties=species:S:1:pos:R:3 pbc="T T T"
Ac 1.6141 2.1521 0.7420
Ca -1.2787 4.5925 0.8960
N -2.4931 2.9733 0.3378
```



<y>
This record from Alexandria via LeMat-Bulk describes an optimized crystal structure of CaAcN. The functional is PBE.

Structure (extended XYZ):
```
3
Lattice="6.6055 0.0000 0.0000 0.0000 3.7536 0.0000 0.0000 -1.8768 3.2507" Properties=species:S:1:pos:R:3 pbc="T T T"
Ac 0.7940 0.0000 0.0000
Ca 3.6383 1.8768 1.0836
N 2.1732 0.0000 2.1672
```



Most stable: <y>



<w>
This record from Alexandria via LeMat-Bulk describes an optimized crystal structure of CaAcN. The functional is PBE.

Structure (extended XYZ):
```
6
Lattice="3.9654 -0.1737 -0.0002 0.1737 3.9654 0.0000 0.0006 -0.0001 10.2922" Properties=species:S:1:pos:R:3 pbc="T T T"
Ca 2.9766 2.6082 6.4192
Ca 0.9072 0.7122 9.1864
Ac 2.9757 2.6083 1.3888
Ac 0.9062 0.7125 3.9247
N 2.9763 2.6088 3.9739
N 0.9066 0.7128 1.3396
```



<x>
This record from Alexandria via LeMat-Bulk describes an optimized crystal structure of CaAcN. The functional is PBE.

Structure (extended XYZ):
```
6
Lattice="-3.3317 4.0690 -4.8988 5.5754 -0.8465 -4.4950 -6.3898 -2.1007 2.6008" Properties=species:S:1:pos:R:3 pbc="T T T"
Ac -5.6319 0.5777 -3.5982
Ac -3.5594 0.0153 -0.2027
Ca -0.7711 0.3072 -1.8566
Ca -2.8435 0.8703 -5.2516
N -2.5776 -1.3129 -1.9736
N -3.8358 2.1970 -3.4748
```



Most stable: <w>



<w>
This record from Alexandria via LeMat-Bulk describes an optimized crystal structure of Ca2AcN. The functional is PBE.

Structure (extended XYZ):
```
4
Lattice="-0.7179 -1.6829 3.1467 2.6909 -1.5793 1.8745 2.2944 7.7622 6.7802" Properties=species:S:1:pos:R:3 pbc="T T T"
Ac 0.0000 0.0000 0.0000
Ca 1.6740 4.4077 4.8446
Ca 2.5934 0.0922 6.9568
N 2.1337 2.2500 5.9007
```



<x>
This record from Alexandria via LeMat-Bulk describes an optimized crystal structure of Ca2AcN. The functional is PBE.

Structure (extended XYZ):
```
8
Lattice="-2.3529 1.9169 2.5676 2.0356 -1.5659 3.0344 9.7089 12.2037 -0.2151" Properties=species:S:1:pos:R:3 pbc="T T T"
Ca 7.1210 9.1574 4.3048
Ca 2.6223 3.1267 1.6065
Ca 0.7804 1.1846 4.4464
Ca 8.9649 11.0979 1.4679
Ac 5.7381 7.0446 1.5372
Ac 4.0044 5.2401 4.3730
N 4.1361 5.0308 1.5717
N 5.6057 7.2544 4.3374
```



Most stable: <x>



<w>
This record from Alexandria via LeMat-Bulk describes an optimized crystal structure of NaCaAc2. The functional is PBE.

Structure (extended XYZ):
```
4
Lattice="-0.1137 3.9019 0.0733 -3.2194 1.8812 -1.1575 -5.6784 1.5669 11.7560" Properties=species:S:1:pos:R:3 pbc="T T T"
Na -7.8997 5.4224 11.0309
Ca -4.5064 3.6750 5.3374
Ac -4.5257 1.6580 8.6976
Ac -2.2641 1.8366 2.6977
```



<x>
This record from Alexandria via LeMat-Bulk describes an optimized crystal structure of NaCaAc2. The functional is PBE.

Structure (extended XYZ):
```
4
Lattice="-2.1184 -1.0456 -3.0468 0.5857 -3.4245 -1.6713 -9.8651 -7.2245 6.8991" Properties=species:S:1:pos:R:3 pbc="T T T"
Na 0.0000 0.0000 0.0000
Ac -7.3622 -5.6902 4.6324
Ac -4.0355 -6.0044 -2.4513
Ca -5.6989 -5.8473 1.0905
```



<y>
This record from Alexandria via LeMat-Bulk describes an optimized crystal structure of NaCaAc2. The functional is PBE.

Structure (extended XYZ):
```
4
Lattice="-3.6210 0.6444 -2.4441 0.8006 -3.7578 -2.1769 -4.7304 -4.3963 5.8491" Properties=species:S:1:pos:R:3 pbc="T T T"
Na -1.4102 -1.5567 -2.3105
Ac -3.5397 -3.2897 4.3768
Ac -1.1907 -1.1066 1.4723
Ca -3.7754 -3.7548 0.6141
```



Most stable: <w>